[1]
This record from the Open Quantum Materials Database describes a geometry-optimized PuTaPb structure. The functional is PBE.

It has space group F-43m (No. 216), with a = 6.8342 Å, b = 6.8342 Å, c = 6.8342 Å, α = 90.00°, β = 90.00° and γ = 90.00°. Symmetry generates all atoms from Pu at (0.0000, 0.0000, 0.0000), Ta at (0.0000, 0.0000, 0.5000) and Pb at (0.2500, 0.2500, 0.2500).

The value obtained for the energy above the most stable polymorph in this dataset is 0.000 eV per atom.

=====

[2]
This record from the Open Quantum Materials Database describes a geometry-optimized AgAsOsO structure. The functional is PBE.

It has space group P4/nmm (No. 129, origin choice 2), with a = 4.0069 Å, b = 4.0069 Å, c = 8.3207 Å, α = 90.00°, β = 90.00° and γ = 90.00°. Symmetry generates all atoms from Ag at (0.2500, 0.2500, 0.0937), As at (0.2500, 0.2500, 0.6801), Os at (0.2500, 0.7500, 0.5000) and O at (0.2500, 0.7500, 0.0000).

The value obtained for the energy above the most stable polymorph in this dataset is 0.239 eV per atom.